Hf2FeCo: relaxed, PBE-GGA.

```
4
Lattice="-2.417 -2.072 3.114 -0.584 1.892 3.989 -3.997 1.596 1.143" Properties=species:S:1:pos:R:3 pbc="T T T"
Co -3.499 0.708 4.123
Hf -1.750 0.354 2.062
Hf -5.249 1.062 6.185
Fe 0.000 0.000 0.000
```

## Properties
Energy above the lowest structure with this stoichiometry ... 0.005 eV per atom
V ... 62.4 Å³ per cell
E_form ... -0.360 eV per atom
Raw total energy ... -9.23 eV/atom
SG ... No. 225